The following is a DFT calculation (PBE) of a relaxed structure of Ta4Au.

Calculated values
Crystal system: cubic
Density of states at the Fermi level, states/eV/cell: 7.296
Distance to the lowest polymorph of the same formula, meV/atom: 1861
DFT total energy, eV per atom: -8.288
Formation energy from the elements, eV/atom: 1.85

abc: 4.8869 4.8869 4.8869
angles: 90.00 90.00 90.00
With the nearest neighbours (Å) after each atom.
Atoms (fractional coordinates):
Ta  0.0000  0.0000  0.0000  12 Ta 3.46
Ta  0.0000  0.5000  0.5000  2 Au 2.44
Ta  0.5000  0.0000  0.5000  2 Au 2.44
Ta  0.5000  0.5000  0.0000  2 Au 2.44
Au  0.5000  0.5000  0.5000  6 Ta 2.44